Record 1
First-principles (SCAN) data for a PBEsol-optimized structure of La3Mg, as listed in Alexandria via LeMat-Bulk.

Cell lengths 4.9822, 4.9822, 10.7092 Å; angles 103.45, 103.45, 90.00 degrees
Element x y z (fractional)
La (0.7500, 0.2500, 0.5000)
Mg (0.3736, 0.3736, 0.7471)
La (0.1275, 0.1275, 0.2549)
La (0.5000, 0.0000, 0.0000)
Mg (0.6264, 0.6264, 0.2529)
La (0.8725, 0.8725, 0.7451)
La (0.0000, 0.5000, 0.0000)
La (0.2500, 0.7500, 0.5000)

Calculated values
Formation energy from the elements in eV per atom: -0.0517

=====

Record 2
First-principles (SCAN) data for a PBEsol-optimized structure of UN2, as listed in Alexandria via LeMat-Bulk.

Cell lengths 3.6924, 3.6924, 3.6924 Å; angles 60.00, 60.00, 60.00 degrees
Element x y z (fractional)
N (0.7500, 0.7500, 0.7500)
U (0.0000, 0.0000, 0.0000)
N (0.2500, 0.2500, 0.2500)

Calculated values
Raw formation energy in kJ per mole of atoms: -146

=====

Record 3
First-principles (SCAN) data for a PBEsol-optimized structure of Li5Sb, as listed in Alexandria via LeMat-Bulk.

Cell lengths 4.5561, 4.5561, 5.7168 Å; angles 90.00, 90.00, 120.00 degrees
Element x y z (fractional)
Li (0.3333, 0.6667, 0.7818)
Li (0.6667, 0.3333, 0.7482)
Li (0.3333, 0.6667, 0.2518)
Sb (0.0000, 0.0000, 0.0000)
Li (0.0000, 0.0000, 0.5000)
Li (0.6667, 0.3333, 0.2182)

Calculated values
Raw formation energy in kJ per mole of atoms: -42
Energy above the most stable polymorph in this dataset in eV/atom: 0.000

=====

Copy entry 3 word for word.
First-principles (SCAN) data for a PBEsol-optimized structure of Li5Sb, as listed in Alexandria via LeMat-Bulk.

Cell lengths 4.5561, 4.5561, 5.7168 Å; angles 90.00, 90.00, 120.00 degrees
Element x y z (fractional)
Li (0.3333, 0.6667, 0.7818)
Li (0.6667, 0.3333, 0.7482)
Li (0.3333, 0.6667, 0.2518)
Sb (0.0000, 0.0000, 0.0000)
Li (0.0000, 0.0000, 0.5000)
Li (0.6667, 0.3333, 0.2182)

Calculated values
Raw formation energy in kJ per mole of atoms: -42
Energy above the most stable polymorph in this dataset in eV/atom: 0.000

=====

Please write out number 2 again, unchanged.
First-principles (SCAN) data for a PBEsol-optimized structure of UN2, as listed in Alexandria via LeMat-Bulk.

Cell lengths 3.6924, 3.6924, 3.6924 Å; angles 60.00, 60.00, 60.00 degrees
Element x y z (fractional)
N (0.7500, 0.7500, 0.7500)
U (0.0000, 0.0000, 0.0000)
N (0.2500, 0.2500, 0.2500)

Calculated values
Raw formation energy in kJ per mole of atoms: -146